1.
Cs2AsICl6 | PBE | relaxed

abc: 17.8867 17.8867 17.8867
angles: 23.74 23.74 23.74
Closest atoms and distances in Å follow each position.
Element x y z (fractional)
Cs: 0.1374 0.1374 0.1374  9 Cl 3.68-3.69
Cs: 0.3025 0.3025 0.3025  9 Cl 3.69-3.80
Cs: 0.6975 0.6975 0.6975  9 Cl 3.69-3.80
Cs: 0.8626 0.8626 0.8626  9 Cl 3.68-3.69
As: 0.0000 0.0000 0.0000  6 Cl 2.39
As: 0.5000 0.5000 0.5000  6 Cl 2.41
I: 0.4043 0.4043 0.4043  3 Cl 3.26
I: 0.5957 0.5957 0.5957  3 Cl 3.26
Cl: 0.1632 0.6289 0.6289  1 As 2.41
Cl: 0.1786 0.1786 0.7235  1 As 2.39
Cl: 0.1786 0.7235 0.1786  1 As 2.39
Cl: 0.2765 0.8214 0.8214  1 As 2.39
Cl: 0.3711 0.3711 0.8368  1 As 2.41
Cl: 0.3711 0.8368 0.3711  1 As 2.41
Cl: 0.6289 0.1632 0.6289  1 As 2.41
Cl: 0.6289 0.6289 0.1632  1 As 2.41
Cl: 0.7235 0.1786 0.1786  1 As 2.39
Cl: 0.8214 0.2765 0.8214  1 As 2.39
Cl: 0.8214 0.8214 0.2765  1 As 2.39
Cl: 0.8368 0.3711 0.3711  1 As 2.41

Summary:
The calculation puts the calculated total energy at -29.16 eV/f.u. Its space group is R-3m. As for the crystal system: trigonal. The value obtained for the raw formation energy is -1.017 eV per atom.

=====

2.
CsAsIrClO | PBE | relaxed

abc: 3.8824 3.9095 8.4670
angles: 98.47 95.24 106.99
Closest atoms and distances in Å follow each position.
Element x y z (fractional)
Cs: 0.0000 0.0000 0.0000  3 O 2.97-3.10
As: 0.3208 0.9497 0.6039  1 O 1.87
Ir: 0.6820 0.5483 0.5643  1 O 2.17, 1 Cl 2.38, 1 As 2.40
Cl: 0.6703 0.5439 0.2830  1 Ir 2.38
O: 0.5574 0.3204 0.7789  1 As 1.87

Summary:
The calculation puts the calculated total energy at -25.10 eV/f.u. Its space group is P1. The calculation puts the distance to the lowest polymorph of the same formula at 90 meV/atom. As for the crystal system: triclinic. The value obtained for the raw formation energy is -0.787 eV per atom.

=====

3.
CsAsIrClO | PBE | relaxed

abc: 4.1927 3.6593 7.8265
angles: 90.00 92.87 90.00
Closest atoms and distances in Å follow each position.
Element x y z (fractional)
Cs: 0.0000 0.0000 0.0000  4 O 3.07-3.10
As: 0.9740 0.0000 0.4585  2 Ir 2.37
Ir: 0.6251 0.5000 0.4035  1 O 1.85
Cl: 0.4812 0.5000 0.7033  1 Ir 2.45
O: 0.5216 0.5000 0.1709  1 Ir 1.85

Summary:
The calculation puts the calculated total energy at -24.65 eV/f.u. Its space group is Pm. The calculation puts the distance to the lowest polymorph of the same formula at 181 meV/atom. As for the crystal system: monoclinic. The value obtained for the raw formation energy is -0.696 eV per atom.

=====

4.
CsAsIrClO | PBE | relaxed

abc: 3.8008 3.8008 9.5866
angles: 106.73 106.73 60.46
Closest atoms and distances in Å follow each position.
Element x y z (fractional)
Cs: 0.0000 0.0000 0.0000  3 O 2.78-2.79
As: 0.8527 0.8527 0.3818  1 O 1.74
Ir: 0.5763 0.5763 0.5002  3 As 2.44-2.45, 3 Cl 2.67-2.68
Cl: 0.3216 0.3216 0.6686  3 Ir 2.67-2.68
O: 0.7587 0.7587 0.1893  1 As 1.74

Summary:
The calculation puts the calculated total energy at -25.51 eV/f.u. Its space group is Cm. The calculation puts the distance to the lowest polymorph of the same formula at 8 meV/atom. As for the crystal system: monoclinic. The value obtained for the raw formation energy is -0.869 eV per atom.

=====

5.
CsAsIrClO | PBE | relaxed

abc: 9.1842 9.1842 9.1842
angles: 23.99 23.99 23.99
Closest atoms and distances in Å follow each position.
Element x y z (fractional)
Cs: 0.0000 0.0000 0.0000  3 O 2.79
As: 0.2046 0.2046 0.2046  1 O 1.74
Ir: 0.8315 0.8315 0.8315  3 As 2.45, 3 Cl 2.68
Cl: 0.4412 0.4412 0.4412  3 Ir 2.68
O: 0.2695 0.2695 0.2695  1 As 1.74

Summary:
The calculation puts the calculated total energy at -25.56 eV/f.u. Its space group is R3m. The calculation puts the distance to the lowest polymorph of the same formula at 0 meV/atom. As for the crystal system: trigonal. The value obtained for the raw formation energy is -0.877 eV per atom.

=====

6.
CsAsIrClO | PBE | relaxed

abc: 8.6512 8.6512 8.6512
angles: 154.50 152.98 37.49
Closest atoms and distances in Å follow each position.
Element x y z (fractional)
Cs: 0.0000 0.0000 0.0000  4 O 3.06
As: 0.6841 0.6841 0.0000  1 O 1.73
Ir: 0.7642 0.2642 0.5000  2 As 2.32, 2 Cl 2.47
Cl: 0.3505 0.3505 0.0000  2 Ir 2.47
O: 0.5787 0.5787 0.0000  1 As 1.73

Summary:
The calculation puts the calculated total energy at -24.59 eV/f.u. Its space group is Imm2. The calculation puts the distance to the lowest polymorph of the same formula at 193 meV/atom. As for the crystal system: orthorhombic. The value obtained for the raw formation energy is -0.684 eV per atom.

=====

7.
CsAsIrClO | PBE | relaxed

abc: 3.7032 5.1061 7.5281
angles: 104.96 97.34 106.46
Closest atoms and distances in Å follow each position.
Element x y z (fractional)
Cs: 0.0000 0.0000 0.0000  2 O 3.01-3.08, 2 Cl 3.34-3.37
As: 0.1248 0.3564 0.5773  1 O 1.79
Ir: 0.4980 0.0612 0.5438  1 O 2.09, 2 As 2.31-2.32
Cl: 0.4709 0.6801 0.2643  1 Ir 2.44
O: 0.2966 0.7411 0.6676  1 As 1.79

Summary:
The calculation puts the calculated total energy at -24.79 eV/f.u. Its space group is P1. The calculation puts the distance to the lowest polymorph of the same formula at 153 meV/atom. As for the crystal system: triclinic. The value obtained for the raw formation energy is -0.724 eV per atom.

=====

8.
CsAsIrClO | PBE | relaxed

abc: 3.9181 3.9181 8.6921
angles: 106.49 106.49 74.23
Closest atoms and distances in Å follow each position.
Element x y z (fractional)
Cs: 0.0000 0.0000 0.0000  3 O 3.01-3.02, 2 Cl 3.36
As: 0.7678 0.7678 0.3975  1 O 1.85
Ir: 0.4035 0.4035 0.4338  1 O 2.20, 1 Cl 2.36, 1 As 2.41
Cl: 0.4193 0.4193 0.7095  1 Ir 2.36
O: 0.5005 0.5005 0.2145  1 As 1.85

Summary:
The calculation puts the calculated total energy at -25.03 eV/f.u. Its space group is Cm. The calculation puts the distance to the lowest polymorph of the same formula at 106 meV/atom. As for the crystal system: monoclinic. The value obtained for the raw formation energy is -0.772 eV per atom.

=====

9.
CsAsIrClO | PBE | relaxed

abc: 4.2346 3.7350 8.3831
angles: 90.00 92.95 90.00
Closest atoms and distances in Å follow each position.
Element x y z (fractional)
Cs: 0.0000 0.0000 0.0000  4 O 3.07-3.10
As: 0.5105 0.5000 0.3541  1 O 1.72
Ir: 0.4911 0.0000 0.5129  2 As 2.30, 2 Cl 2.53
Cl: 0.4728 0.5000 0.7150  2 Ir 2.53
O: 0.5207 0.5000 0.1493  1 As 1.72

Summary:
The calculation puts the calculated total energy at -25.06 eV/f.u. Its space group is Pm. The calculation puts the distance to the lowest polymorph of the same formula at 98 meV/atom. As for the crystal system: monoclinic. The value obtained for the raw formation energy is -0.779 eV per atom.

=====

10.
CsAsIrClO | PBE | relaxed

abc: 5.3067 5.3067 7.3416
angles: 109.15 109.15 40.79
Closest atoms and distances in Å follow each position.
Element x y z (fractional)
Cs: 0.0000 0.0000 0.0000  2 O 2.94
As: 0.6312 0.6312 0.5889  1 O 1.75
Ir: 0.2456 0.2456 0.5251  2 As 2.30, 1 O 2.33
Cl: 0.7997 0.7997 0.3026  2 Ir 2.64
O: 0.4934 0.4934 0.6850  1 As 1.75

Summary:
The calculation puts the calculated total energy at -24.68 eV/f.u. Its space group is Cm. The calculation puts the distance to the lowest polymorph of the same formula at 176 meV/atom. As for the crystal system: monoclinic. The value obtained for the raw formation energy is -0.701 eV per atom.

=====

11.
CsAsIrClO | PBE | relaxed

abc: 9.2102 9.2102 9.2102
angles: 23.87 23.87 23.87
Closest atoms and distances in Å follow each position.
Element x y z (fractional)
Cs: 0.0000 0.0000 0.0000  3 O 2.80
As: 0.4624 0.4624 0.4624  1 O 1.74
Ir: 0.8357 0.8357 0.8357  3 As 2.45, 3 Cl 2.68
Cl: 0.2261 0.2261 0.2261  3 Ir 2.68
O: 0.3977 0.3977 0.3977  1 As 1.74

Summary:
The calculation puts the calculated total energy at -25.55 eV/f.u. Its space group is R3m. The calculation puts the distance to the lowest polymorph of the same formula at 2 meV/atom. As for the crystal system: trigonal. The value obtained for the raw formation energy is -0.876 eV per atom.

=====

12.
CsAsIrClO | PBE | relaxed

abc: 4.7504 4.7504 7.6605
angles: 100.39 100.39 46.49
Closest atoms and distances in Å follow each position.
Element x y z (fractional)
Cs: 0.0000 0.0000 0.0000  2 O 3.14, 3 Cl 3.32-3.42
As: 0.2290 0.2290 0.6549  1 O 1.81
Ir: 0.5928 0.5928 0.4978  1 O 2.04
Cl: 0.7619 0.7619 0.2892  1 Ir 2.38
O: 0.4373 0.4373 0.6642  1 As 1.81

Summary:
The calculation puts the calculated total energy at -24.79 eV/f.u. Its space group is Cm. The calculation puts the distance to the lowest polymorph of the same formula at 153 meV/atom. As for the crystal system: monoclinic. The value obtained for the raw formation energy is -0.725 eV per atom.

=====

| no. | magnetization (μB per formula unit) |
| --- | --- |
| 1 | 0.58 |
| 2 | 0.00 |
| 3 | 0.00 |
| 4 | 0.00 |
| 5 | 0.00 |
| 6 | 0.00 |
| 7 | 0.00 |
| 8 | 0.00 |
| 9 | 0.00 |
| 10 | 0.00 |
| 11 | 0.00 |
| 12 | 0.00 |